Entry 1:
{
  "formula": "MgGaCuRu",
  "functional": "GGA-PBE",
  "state": "relaxed",
  "lattice_angstrom": [[-2.5171, 1.9828, -0.4602], [-1.2854, -2.3594, -3.1347], [-2.3341, -2.3333, 2.7133]],
  "species": ["Mg", "Ga", "Cu", "Ru"],
  "frac_coords": [[0.5000, 0.0000, 0.5000], [0.5000, 0.5000, 0.0000], [0.0000, 0.5000, 0.5000], [0.0000, 0.0000, 0.0000]],
  "spacegroup": "Pmmm, No. 47",
  "e_above_lowest_polymorph_ev_per_fu": 0.00,
  "energy_ev_per_cell": -18.85,
  "m_tot_mub_per_atom": 0.00
}

=====

Entry 2:
{
  "formula": "MgGaCu2Se4",
  "functional": "GGA-PBE",
  "state": "relaxed",
  "lattice_angstrom": [[-6.6145, -0.0484, -0.8783], [-0.1082, -6.8549, 1.1923], [-1.0493, 1.3778, 7.8267]],
  "species": ["Mg", "Mg", "Ga", "Ga", "Cu", "Cu", "Cu", "Cu", "Se", "Se", "Se", "Se", "Se", "Se", "Se", "Se"],
  "frac_coords": [[0.0006, 0.1645, 0.5000], [0.5006, 0.8355, 0.0000], [0.5003, 0.8257, 0.5000], [0.0003, 0.1743, 0.0000], [0.5031, 0.3302, 0.2508], [0.5031, 0.3302, 0.7492], [0.0031, 0.6698, 0.7508], [0.0031, 0.6698, 0.2492], [0.3696, 0.1863, 0.0000], [0.8696, 0.8137, 0.5000], [0.3917, 0.1638, 0.5000], [0.8917, 0.8362, 0.0000], [0.3658, 0.6539, 0.7410], [0.8658, 0.3461, 0.2410], [0.8658, 0.3461, 0.7590], [0.3658, 0.6539, 0.2590]],
  "spacegroup": "Pmn2_1, No. 31",
  "raw_formation_energy_mev_per_atom": -563,
  "energy_ev_per_cell": -62.52,
  "m_tot_mub_per_atom": 0.00
}

=====

Entry 3:
{
  "formula": "Mg2Ga2Cu5Si",
  "functional": "GGA-PBE",
  "state": "relaxed",
  "lattice_angstrom": [[3.1613, 0.0000, 0.0000], [0.0000, 9.7840, 0.0000], [0.0000, 0.0000, 9.7840]],
  "species": ["Mg", "Mg", "Mg", "Mg", "Ga", "Ga", "Ga", "Ga", "Cu", "Cu", "Cu", "Cu", "Cu", "Cu", "Cu", "Cu", "Cu", "Cu", "Si", "Si"],
  "frac_coords": [[0.0000, 0.6686, 0.1686], [0.0000, 0.3314, 0.8314], [0.0000, 0.1686, 0.3314], [0.0000, 0.8314, 0.6686], [0.0000, 0.1354, 0.6354], [0.0000, 0.8646, 0.3646], [0.0000, 0.6354, 0.8646], [0.0000, 0.3646, 0.1354], [0.5000, 0.1855, 0.0504], [0.5000, 0.8145, 0.9496], [0.5000, 0.0504, 0.8145], [0.5000, 0.6855, 0.4496], [0.5000, 0.9496, 0.1855], [0.5000, 0.3145, 0.5504], [0.5000, 0.5504, 0.6855], [0.5000, 0.4496, 0.3145], [0.5000, 0.5000, 0.0000], [0.5000, 0.0000, 0.5000], [0.0000, 0.0000, 0.0000], [0.0000, 0.5000, 0.5000]],
  "spacegroup": "P4/mbm, No. 127",
  "raw_formation_energy_mev_per_atom": -13,
  "energy_ev_per_cell": -70.55,
  "m_tot_mub_per_atom": 0.00
}

=====

Entry 4:
{
  "formula": "SmMg2Ga2Cu",
  "functional": "GGA-PBE",
  "state": "relaxed",
  "lattice_angstrom": [[-1.7083, 4.7861, -0.9132], [-0.3769, -1.0946, -5.0318], [-4.0369, -3.5168, 3.7165]],
  "species": ["Sm", "Mg", "Mg", "Ga", "Ga", "Cu"],
  "frac_coords": [[0.5000, 0.5000, 0.0000], [0.2500, 0.7500, 0.5000], [0.7500, 0.2500, 0.5000], [0.7879, 0.7879, 0.5758], [0.2121, 0.2121, 0.4242], [0.0000, 0.0000, 0.0000]],
  "spacegroup": "I4/mmm, No. 139",
  "energy_ev_per_cell": -17.39,
  "m_tot_mub_per_atom": 0.00
}

=====

Entry 5:
{
  "formula": "SmMgGa5Cu2",
  "functional": "GGA-PBE",
  "state": "relaxed",
  "lattice_angstrom": [[4.4970, 0.0000, 0.0000], [0.0000, 4.4970, 0.0000], [0.0000, 0.0000, 9.2770]],
  "species": ["Sm", "Mg", "Ga", "Ga", "Ga", "Ga", "Ga", "Cu", "Cu"],
  "frac_coords": [[0.0000, 0.0000, 0.5000], [0.0000, 0.0000, 0.0000], [0.0000, 0.5000, 0.1802], [0.5000, 0.0000, 0.1802], [0.0000, 0.5000, 0.8198], [0.5000, 0.0000, 0.8198], [0.5000, 0.5000, 0.5000], [0.5000, 0.5000, 0.2579], [0.5000, 0.5000, 0.7421]],
  "spacegroup": "P4/mmm, No. 123",
  "energy_ev_per_cell": -29.74,
  "m_tot_mub_per_atom": 0.00
}

=====

Entry 6:
{
  "formula": "Sm2MgGa4Cu3",
  "functional": "GGA-PBE",
  "state": "relaxed",
  "lattice_angstrom": [[-3.4199, 0.6833, 2.2477], [0.4871, -3.6772, 1.8589], [6.0175, 4.7029, 7.7260]],
  "species": ["Sm", "Sm", "Mg", "Ga", "Ga", "Ga", "Ga", "Cu", "Cu", "Cu"],
  "frac_coords": [[0.5000, 0.0000, 0.2353], [0.0000, 0.5000, 0.7647], [0.5000, 0.5000, 0.5000], [0.5000, 0.5000, 0.0000], [0.0000, 0.0000, 0.0000], [0.5000, 0.0000, 0.6532], [0.0000, 0.5000, 0.3468], [0.0000, 0.0000, 0.5000], [0.5000, 0.0000, 0.8739], [0.0000, 0.5000, 0.1261]],
  "spacegroup": "P-4m2, No. 115",
  "energy_ev_per_cell": -39.70,
  "m_tot_mub_per_atom": 0.00
}

=====

Entry 7:
{
  "formula": "SmMg2GaCu2",
  "functional": "GGA-PBE",
  "state": "relaxed",
  "lattice_angstrom": [[-0.8617, 3.3885, -3.4957], [0.0216, -3.5473, -3.4439], [-4.8048, -0.5811, 4.1174]],
  "species": ["Sm", "Mg", "Mg", "Ga", "Cu", "Cu"],
  "frac_coords": [[0.5000, 0.5000, 0.0000], [0.2500, 0.7500, 0.5000], [0.7500, 0.2500, 0.5000], [0.0000, 0.0000, 0.0000], [0.7818, 0.7818, 0.5635], [0.2182, 0.2182, 0.4365]],
  "spacegroup": "I4/mmm, No. 139",
  "energy_ev_per_cell": -19.16,
  "m_tot_mub_per_atom": 0.00
}

=====

Entry 8:
{
  "formula": "SmMgGaCu",
  "functional": "GGA-PBE",
  "state": "relaxed",
  "lattice_angstrom": [[4.8446, 0.0000, 0.0000], [2.4223, 4.1955, 0.0000], [2.4223, 1.3985, 3.9556]],
  "species": ["Mg", "Cu", "Ga", "Sm"],
  "frac_coords": [[0.5000, 0.5000, 0.5000], [0.7500, 0.7500, 0.7500], [0.2500, 0.2500, 0.2500], [0.0000, 0.0000, 0.0000]],
  "spacegroup": "F-43m, No. 216",
  "energy_ev_per_cell": -14.87,
  "m_tot_mub_per_atom": 0.00
}